(1)
This record from Alexandria describes a geometry-optimized KLiPm2Se4 structure. The functional is PBE.

Unit cell a=4.2849 b=14.2721 c=14.8372 alpha=90.00 beta=90.00 gamma=90.00
Space group Cmcm (No. 63)
Inequivalent atoms, fractional coordinates:
K 0.0000 0.1081 0.2500 x4
Li 0.0000 0.1631 0.7500 x4
Pm 0.0000 0.3659 0.0618 x8
Se 0.0000 0.0000 0.0000 x4
Se 0.0000 0.2644 0.6109 x8
Se 0.0000 0.4300 0.2500 x4

(2)
This record from Alexandria describes a geometry-optimized NaLa3Y3Se8 structure. The functional is PBE.

Unit cell a=8.3344 b=8.3344 c=20.6293 alpha=90.00 beta=90.00 gamma=120.00
Space group R-3m (No. 166, hexagonal axes)
Inequivalent atoms, fractional coordinates:
Na 0.0000 0.0000 0.0000 x3
La 0.0000 0.5000 0.5000 x9
Y 0.0000 0.5000 0.0000 x9
Se 0.0000 0.0000 0.2555 x6
Se 0.0097 0.5048 0.2530 x18

(3)
This record from Alexandria describes a geometry-optimized HgTe2Rh structure. The functional is PBE.

Results
Relative energy among the computed polymorphs, eV/atom: 0.5880

Unit cell a=6.0433 b=7.9971 c=3.7932 alpha=90.00 beta=90.00 gamma=90.00
Space group Cmmm (No. 65)
Inequivalent atoms, fractional coordinates:
Hg 0.0000 0.0000 0.0000 x2
Te 0.2500 0.2500 0.5000 x4
Rh 0.0000 0.5000 0.0000 x2

(4)
This record from Alexandria describes a geometry-optimized TeH structure. The functional is PBE.

Results
Relative energy among the computed polymorphs, eV/atom: 0.4325

Unit cell a=7.6489 b=7.6489 c=7.6489 alpha=90.00 beta=90.00 gamma=90.00
Space group I-43m (No. 217)
Inequivalent atoms, fractional coordinates:
Te 0.1592 0.1592 0.8408 x8
H 0.2120 0.2120 0.2120 x8

(5)
This record from Alexandria describes a geometry-optimized Er3TmTc structure. The functional is PBE.

Results
Formation energy from the elements, eV/atom: -0.064
Relative energy among the computed polymorphs, eV/atom: 0.0000

Unit cell a=10.6035 b=3.6540 c=13.9640 alpha=90.00 beta=90.00 gamma=90.00
Space group Pnma (No. 62)
Inequivalent atoms, fractional coordinates:
Er 0.0488 0.2500 0.0949 x4
Er 0.0803 0.7500 0.3167 x4
Er 0.1801 0.7500 0.7435 x4
Tm 0.1786 0.2500 0.5112 x4
Tc 0.1732 0.2500 0.9047 x4

(6)
This record from Alexandria describes a geometry-optimized Tl3Hg3Te2 structure. The functional is PBE.

Unit cell a=4.8695 b=12.2327 c=17.2052 alpha=90.00 beta=90.00 gamma=90.00
Space group Cmcm (No. 63)
Inequivalent atoms, fractional coordinates:
Tl 0.0000 0.0877 0.1167 x8
Tl 0.0000 0.3383 0.2500 x4
Hg 0.0000 0.3839 0.0140 x8
Hg 0.0000 0.3927 0.7500 x4
Te 0.0000 0.1892 0.6098 x8

(7)
This record from Alexandria describes a geometry-optimized Ac2Pr3Au2 structure. The functional is PBE.

Results
Formation energy from the elements, eV/atom: -0.455

Unit cell a=13.0837 b=4.0398 c=9.8036 alpha=90.00 beta=115.15 gamma=90.00
Space group C2/m (No. 12)
Inequivalent atoms, fractional coordinates:
Ac 0.1559 0.0000 0.3082 x4
Pr 0.0000 0.5000 0.5000 x2
Pr 0.1169 0.5000 0.9454 x4
Au 0.1584 0.0000 0.7311 x4

(8)
This record from Alexandria describes a geometry-optimized Mg3VS structure. The functional is PBE.

Results
Relative energy among the computed polymorphs, eV/atom: 0.0000

Unit cell a=4.8358 b=4.8358 c=4.8358 alpha=90.00 beta=90.00 gamma=90.00
Space group Pm-3m (No. 221)
Inequivalent atoms, fractional coordinates:
Mg 0.0000 0.0000 0.5000 x3
V 0.5000 0.5000 0.5000 x1
S 0.0000 0.0000 0.0000 x1

(9)
This record from Alexandria describes a geometry-optimized CaLaTl structure. The functional is PBE.

Results
Formation energy from the elements, eV/atom: -0.254
Relative energy among the computed polymorphs, eV/atom: 0.1445

Unit cell a=3.7674 b=3.7674 c=14.4323 alpha=90.00 beta=90.00 gamma=90.00
Space group I4mm (No. 107)
Inequivalent atoms, fractional coordinates:
Ca 0.0000 0.0000 0.0000 x2
La 0.0000 0.0000 0.7124 x2
Tl 0.0000 0.0000 0.3592 x2

(10)
This record from Alexandria describes a geometry-optimized Pu3NpGa8 structure. The functional is PBE.

Results
Formation energy from the elements, eV/atom: -0.332

Unit cell a=5.5973 b=5.5973 c=8.4857 alpha=90.00 beta=90.00 gamma=120.00
Space group P3m1 (No. 156)
Inequivalent atoms, fractional coordinates:
Pu 0.0000 0.0000 0.0000 x1
Pu 0.0000 0.0000 0.3205 x1
Pu 0.3333 0.6667 0.8116 x1
Np 0.3333 0.6667 0.5041 x1
Ga 0.0182 0.5091 0.1599 x3
Ga 0.3160 0.1580 0.6589 x3
Ga 0.6667 0.3333 0.4098 x1
Ga 0.6667 0.3333 0.9102 x1

(11)
This record from Alexandria describes a geometry-optimized In2GaCu2 structure. The functional is PBE.

Results
Formation energy from the elements, eV/atom: 0.168
Relative energy among the computed polymorphs, eV/atom: 0.0962

Unit cell a=8.1984 b=8.1984 c=2.8503 alpha=90.00 beta=90.00 gamma=90.00
Space group P4/mbm (No. 127)
Inequivalent atoms, fractional coordinates:
In 0.1397 0.3603 0.0000 x4
Ga 0.0000 0.0000 0.0000 x2
Cu 0.1590 0.6590 0.5000 x4

(12)
This record from Alexandria describes a geometry-optimized Np3Sc2TaN6 structure. The functional is PBE.

Unit cell a=5.6456 b=9.7850 c=5.8052 alpha=90.00 beta=108.88 gamma=90.00
Space group C2/m (No. 12)
Inequivalent atoms, fractional coordinates:
Np 0.0000 0.0000 0.0000 x2
Np 0.0000 0.3305 0.0000 x4
Sc 0.0000 0.1663 0.5000 x4
Ta 0.0000 0.5000 0.5000 x2
N 0.2376 0.3378 0.7264 x8
N 0.2474 0.5000 0.2696 x4

Number 1: energy -160.567 eV/cell. Number 2: energy -273.859 eV/cell. Number 3: energy -25.350 eV/cell. Number 4: energy -42.392 eV/cell. Number 5: energy -115.384 eV/cell. Number 6: energy -61.119 eV/cell. Number 7: energy -64.592 eV/cell. Number 8: energy -16.792 eV/cell. Number 9: energy -20.113 eV/cell. Number 10: energy -84.130 eV/cell. Number 11: energy -31.709 eV/cell. Number 12: energy -259.825 eV/cell.